The following is a PBE-GGA calculation of crystalline Tb3Ho8Th4 at its relaxed geometry, from the Alexandria database.

ΔE_f (eV/atom): 0.427
M_tot (μB/atom): 0.000
Calculated volume (A^3/atom): 33.0

Cell lengths 9.237, 9.237, 6.709 Å; angles 111.08, 111.08, 88.35 degrees
Element x y z (fractional)
Tb: 0.000 0.000 0.000
Tb: 0.000 0.500 0.000
Tb: 0.500 0.000 0.000
Ho: 0.143 0.857 0.500
Ho: 0.236 0.236 0.501
Ho: 0.241 0.241 0.986
Ho: 0.245 0.755 0.000
Ho: 0.755 0.245 0.000
Ho: 0.759 0.759 0.014
Ho: 0.764 0.764 0.499
Ho: 0.857 0.143 0.500
Th: 0.000 0.500 0.500
Th: 0.500 0.000 0.500
Th: 0.500 0.500 0.000
Th: 0.500 0.500 0.500